# 1
# Y2TcP SCAN single point on PBEsol structure
data_Y2TcP
_space_group_name_H-M_alt 'P 4/m m m'
_space_group_IT_number 123
_space_group_name_Hall '-P 4 2'
_cell_length_a 3.5439
_cell_length_b 3.5439
_cell_length_c 6.1700
_cell_angle_alpha 90.00
_cell_angle_beta 90.00
_cell_angle_gamma 90.00
loop_
_atom_site_label
_atom_site_fract_x
_atom_site_fract_y
_atom_site_fract_z
Y1 0.0000 0.0000 0.2436
Tc1 0.5000 0.5000 0.5000
P1 0.5000 0.5000 0.0000
# Final energy (hartree per atom): -0.9517

# 2
# Y2TcP SCAN single point on PBEsol structure
data_Y2TcP
_space_group_name_H-M_alt 'R -3 m'
_space_group_IT_number 166
_space_group_name_Hall '-R 3 2"'
_cell_length_a 3.6194
_cell_length_b 3.6194
_cell_length_c 22.6212
_cell_angle_alpha 90.00
_cell_angle_beta 90.00
_cell_angle_gamma 120.00
loop_
_atom_site_label
_atom_site_fract_x
_atom_site_fract_y
_atom_site_fract_z
Y1 0.0000 0.0000 0.2443
Tc1 0.0000 0.0000 0.0000
P1 0.0000 0.0000 0.5000
# Final energy (hartree per atom): -0.9454

# 3
# Zn2TcP SCAN single point on PBEsol structure
data_Zn2TcP
_space_group_name_H-M_alt 'R -3 m'
_space_group_IT_number 166
_space_group_name_Hall '-R 3 2"'
_cell_length_a 2.7642
_cell_length_b 2.7642
_cell_length_c 25.6047
_cell_angle_alpha 90.00
_cell_angle_beta 90.00
_cell_angle_gamma 120.00
loop_
_atom_site_label
_atom_site_fract_x
_atom_site_fract_y
_atom_site_fract_z
Zn1 0.0000 0.0000 0.2493
Tc1 0.0000 0.0000 0.5000
P1 0.0000 0.0000 0.0000
# Final energy (hartree per atom): -0.6541

# 4
# Zn2TcP SCAN single point on PBEsol structure
data_Zn2TcP
_space_group_name_H-M_alt 'I -4 m 2'
_space_group_IT_number 119
_space_group_name_Hall 'I -4 -2'
_cell_length_a 3.7374
_cell_length_b 3.7374
_cell_length_c 7.5884
_cell_angle_alpha 90.00
_cell_angle_beta 90.00
_cell_angle_gamma 90.00
loop_
_atom_site_label
_atom_site_fract_x
_atom_site_fract_y
_atom_site_fract_z
Zn1 0.0000 0.0000 0.0000
Zn2 0.0000 0.5000 0.2500
Tc1 0.0000 0.5000 0.7500
P1 0.0000 0.0000 0.5000
# Final energy (hartree per atom): -0.6617

# 5
# ZnTcP3 SCAN single point on PBEsol structure
data_ZnTcP3
_space_group_name_H-M_alt 'P m -3 m'
_space_group_IT_number 221
_space_group_name_Hall '-P 4 2 3'
_cell_length_a 4.4330
_cell_length_b 4.4330
_cell_length_c 4.4330
_cell_angle_alpha 90.00
_cell_angle_beta 90.00
_cell_angle_gamma 90.00
loop_
_atom_site_label
_atom_site_fract_x
_atom_site_fract_y
_atom_site_fract_z
Zn1 0.0000 0.0000 0.0000
Tc1 0.5000 0.5000 0.5000
P1 0.0000 0.0000 0.5000
# Final energy (hartree per atom): -0.5342

# 6
# ZnTc2P SCAN single point on PBEsol structure
data_ZnTc2P
_space_group_name_H-M_alt 'R 3 m'
_space_group_IT_number 160
_space_group_name_Hall 'R 3 -2"'
_cell_length_a 2.7962
_cell_length_b 2.7962
_cell_length_c 24.6317
_cell_angle_alpha 90.00
_cell_angle_beta 90.00
_cell_angle_gamma 120.00
loop_
_atom_site_label
_atom_site_fract_x
_atom_site_fract_y
_atom_site_fract_z
Zn1 0.0000 0.0000 0.0000
Tc1 0.0000 0.0000 0.5054
Tc2 0.0000 0.0000 0.7539
P1 0.0000 0.0000 0.2449
# ΔE to the lowest computed polymorph (eV/atom): 0.000
# Final energy (hartree per atom): -0.8636

# 7
# ZnTcP SCAN single point on PBEsol structure
data_ZnTcP
_space_group_name_H-M_alt 'F -4 3 m'
_space_group_IT_number 216
_space_group_name_Hall 'F -4 2 3'
_cell_length_a 5.6675
_cell_length_b 5.6675
_cell_length_c 5.6675
_cell_angle_alpha 90.00
_cell_angle_beta 90.00
_cell_angle_gamma 90.00
loop_
_atom_site_label
_atom_site_fract_x
_atom_site_fract_y
_atom_site_fract_z
Zn1 0.0000 0.0000 0.0000
Tc1 0.2500 0.2500 0.7500
P1 0.2500 0.2500 0.2500
# ΔE to the lowest computed polymorph (eV/atom): 1.172
# Final energy (hartree per atom): -0.6912

# 8
# Zn4TcP SCAN single point on PBEsol structure
data_Zn4TcP
_space_group_name_H-M_alt 'F -4 3 m'
_space_group_IT_number 216
_space_group_name_Hall 'F -4 2 3'
_cell_length_a 6.8870
_cell_length_b 6.8870
_cell_length_c 6.8870
_cell_angle_alpha 90.00
_cell_angle_beta 90.00
_cell_angle_gamma 90.00
loop_
_atom_site_label
_atom_site_fract_x
_atom_site_fract_y
_atom_site_fract_z
Zn1 0.1241 0.1241 0.3759
Tc1 0.2500 0.2500 0.7500
P1 0.0000 0.0000 0.0000
# Final energy (hartree per atom): -0.5986

no.,E_form (kJ/mol of formula units)
1,-236
2,-169
3,125
4,45
5,683
6,4
7,246
8,172